A plane-wave DFT calculation with PBE+U was carried out for a relaxed Li2VO2F crystal.

Summary:
The spin magnetization is 16.00 μB/cell. Its total energy is -0.2254 Ha/atom. The relative energy among the computed polymorphs is 96.0 meV/atom.

Cell: 15.738 3.018 10.379 Å, 90.00 110.58 90.00°
Space group Cm (No. 8)
Unique sites:
Li (0.000, 0.000, 0.000) x2
Li (0.001, 0.500, 0.250) x2
Li (0.017, 0.500, 0.755) x2
Li (0.024, 0.000, 0.519) x2
Li (0.147, 0.500, 0.690) x2
Li (0.151, 0.000, 0.904) x2
Li (0.157, 0.000, 0.418) x2
Li (0.158, 0.500, 0.162) x2
V (0.322, 0.500, 0.595) x2
V (0.327, 0.000, 0.840) x2
V (0.330, 0.000, 0.333) x2
V (0.330, 0.500, 0.088) x2
O (0.078, 0.000, 0.711) x2
O (0.252, 0.000, 0.629) x2
O (0.254, 0.000, 0.133) x2
O (0.254, 0.500, 0.886) x2
O (0.261, 0.500, 0.387) x2
O (0.400, 0.500, 0.793) x2
O (0.406, 0.000, 0.046) x2
O (0.407, 0.500, 0.296) x2
F (0.078, 0.500, 0.970) x2
F (0.080, 0.500, 0.448) x2
F (0.083, 0.000, 0.213) x2
F (0.406, 0.000, 0.549) x2